# PBE MnAlNiMo, optimized geometry
data_MnAlNiMo
_cell_length_a 4.180
_cell_length_b 4.180
_cell_length_c 4.180
_cell_angle_alpha 60.00
_cell_angle_beta 60.00
_cell_angle_gamma 60.00
_symmetry_space_group_name_H-M 'P 1'
_symmetry_Int_Tables_number 1
loop_
_symmetry_equiv_pos_as_xyz
'x,y,z'
loop_
_atom_site_label
_atom_site_fract_x
_atom_site_fract_y
_atom_site_fract_z
Al1 0.000 0.000 0.000
Mn1 0.750 0.750 0.750
Mo1 0.500 0.500 0.500
Ni1 0.250 0.250 0.250
# - Total moment: 0.30 μB per atom
# - SG: No. 216
# - Total DFT energy (no corrections): -30.08 eV/cell
# - Mass density: 7.61 g cm⁻³